Entry from the Alexandria database: a relaxed structure of NbSnH2 (PBE).

a b c (Å): 3.292 3.292 5.577
angles (deg): 72.83 72.83 60.00
Atoms (fractional coordinates):
Nb 0.690 0.690 0.931
Sn 0.502 0.502 0.495
H 0.997 0.997 0.009
H 0.312 0.312 0.065

***

Entry from the Alexandria database: a relaxed structure of Nb3SnH (PBE).

a b c (Å): 15.983 9.896 9.896
angles (deg): 163.12 157.35 22.65
Atoms (fractional coordinates):
H 0.560 0.073 0.927
H 0.440 0.927 0.073
Nb 0.624 0.347 0.653
Nb 0.376 0.653 0.347
Nb 0.133 0.214 0.786
Nb 0.867 0.786 0.214
Nb 0.637 0.586 0.414
Nb 0.363 0.414 0.586
Sn 0.869 0.024 0.976
Sn 0.131 0.976 0.024

***

Entry from the Alexandria database: a relaxed structure of Nb3SnH2 (PBE).

a b c (Å): 5.449 5.449 5.451
angles (deg): 90.00 90.00 90.16
Atoms (fractional coordinates):
Nb 0.745 0.991 0.750
Nb 0.991 0.745 0.250
Nb 0.509 0.509 0.500
Nb 0.253 0.993 0.750
Nb 0.993 0.253 0.250
Nb 0.509 0.509 0.000
Sn 0.498 0.003 0.250
Sn 0.003 0.498 0.750
H 0.999 0.999 0.500
H 0.252 0.501 0.250
H 0.501 0.252 0.750
H 0.999 0.999 0.000

***

Entry from the Alexandria database: a relaxed structure of Nb12Sn3H5 (PBE).

a b c (Å): 11.899 11.899 11.899
angles (deg): 109.47 109.47 109.47
Atoms (fractional coordinates):
Sn 0.750 0.375 0.125
Sn 0.875 0.750 0.125
Sn 0.375 0.750 0.625
Sn 0.250 0.125 0.375
Sn 0.875 0.125 0.250
Sn 0.375 0.625 0.250
Sn 0.625 0.375 0.750
Sn 0.125 0.875 0.750
Sn 0.750 0.875 0.625
Sn 0.625 0.250 0.375
Sn 0.125 0.250 0.875
Sn 0.250 0.625 0.875
H 0.125 0.375 0.250
H 0.000 0.500 0.000
H 0.000 0.000 0.000
H 0.375 0.250 0.125
H 0.500 0.000 0.500
H 0.500 0.500 0.000
H 0.125 0.750 0.375
H 0.750 0.125 0.875
H 0.750 0.625 0.375
H 0.375 0.125 0.750
H 0.625 0.875 0.250
H 0.500 0.500 0.500
H 0.500 0.000 0.000
H 0.000 0.000 0.500
H 0.250 0.375 0.625
H 0.250 0.875 0.125
H 0.000 0.500 0.500
H 0.875 0.250 0.625
H 0.625 0.750 0.875
H 0.875 0.625 0.750
Nb 0.681 0.092 0.998
Nb 0.317 0.498 0.406
Nb 0.002 0.408 0.319
Nb 0.498 0.181 0.092
Nb 0.589 0.681 0.683
Nb 0.002 0.594 0.183
Nb 0.317 0.819 0.411
Nb 0.094 0.911 0.092
Nb 0.594 0.002 0.683
Nb 0.681 0.589 0.183
Nb 0.819 0.502 0.408
Nb 0.817 0.906 0.998
Nb 0.092 0.681 0.498
Nb 0.408 0.406 0.089
Nb 0.089 0.906 0.408
Nb 0.411 0.092 0.594
Nb 0.089 0.183 0.181
Nb 0.502 0.683 0.094
Nb 0.817 0.911 0.319
Nb 0.092 0.411 0.094
Nb 0.408 0.002 0.819
Nb 0.594 0.592 0.411
Nb 0.906 0.817 0.498
Nb 0.819 0.317 0.911
Nb 0.406 0.408 0.589
Nb 0.094 0.183 0.502
Nb 0.181 0.683 0.089
Nb 0.183 0.089 0.681
Nb 0.592 0.998 0.181
Nb 0.908 0.589 0.906
Nb 0.498 0.317 0.906
Nb 0.589 0.908 0.406
Nb 0.911 0.817 0.819
Nb 0.911 0.094 0.592
Nb 0.908 0.319 0.502
Nb 0.183 0.094 0.002
Nb 0.592 0.594 0.911
Nb 0.406 0.998 0.317
Nb 0.319 0.411 0.817
Nb 0.181 0.498 0.592
Nb 0.906 0.089 0.908
Nb 0.683 0.181 0.589
Nb 0.502 0.819 0.908
Nb 0.998 0.406 0.817
Nb 0.411 0.319 0.317
Nb 0.998 0.592 0.681
Nb 0.683 0.502 0.594
Nb 0.319 0.908 0.002

***

Entry from the Alexandria database: a relaxed structure of NbSnH3 (PBE).

a b c (Å): 3.807 3.807 3.807
angles (deg): 90.00 90.00 90.00
Atoms (fractional coordinates):
H 0.000 0.500 0.000
H 0.000 0.000 0.500
H 0.500 0.000 0.000
Nb 0.500 0.500 0.500
Sn 0.000 0.000 0.000

***

Entry from the Alexandria database: a relaxed structure of Nb8SnH6 (PBE).

a b c (Å): 5.713 5.713 5.713
angles (deg): 95.33 95.33 95.33
Atoms (fractional coordinates):
Nb 0.671 0.671 0.671
Nb 0.329 0.329 0.329
Nb 0.549 0.900 0.218
Nb 0.900 0.218 0.549
Nb 0.218 0.549 0.900
Nb 0.451 0.100 0.782
Nb 0.100 0.782 0.451
Nb 0.782 0.451 0.100
Sn 0.000 0.000 0.000
H 0.526 0.433 0.842
H 0.433 0.842 0.526
H 0.842 0.526 0.433
H 0.474 0.567 0.158
H 0.567 0.158 0.474
H 0.158 0.474 0.567

***

Entry from the Alexandria database: a relaxed structure of Nb3SnH3 (PBE).

a b c (Å): 5.520 5.520 5.520
angles (deg): 90.00 90.00 90.00
Atoms (fractional coordinates):
H 0.250 0.000 0.500
H 0.000 0.500 0.250
H 0.500 0.750 0.000
H 0.750 0.000 0.500
H 0.000 0.500 0.750
H 0.500 0.250 0.000
Nb 0.000 0.250 0.500
Nb 0.000 0.750 0.500
Nb 0.500 0.000 0.750
Nb 0.750 0.500 0.000
Nb 0.500 0.000 0.250
Nb 0.250 0.500 0.000
Sn 0.500 0.500 0.500
Sn 0.000 0.000 0.000

***

Entry from the Alexandria database: a relaxed structure of Nb3SnH (PBE).

a b c (Å): 14.336 5.580 5.580
angles (deg): 131.40 143.33 36.67
Atoms (fractional coordinates):
H 0.961 0.866 0.134
H 0.039 0.134 0.866
Nb 0.808 0.321 0.679
Nb 0.192 0.679 0.321
Nb 0.943 0.433 0.567
Nb 0.057 0.567 0.433
Nb 0.315 0.796 0.204
Nb 0.685 0.204 0.796
Sn 0.575 0.047 0.953
Sn 0.425 0.953 0.047

***

Entry from the Alexandria database: a relaxed structure of Nb3SnH (PBE).

a b c (Å): 5.529 5.529 5.404
angles (deg): 90.00 90.00 79.31
Atoms (fractional coordinates):
H 0.202 0.798 0.250
H 0.798 0.202 0.750
Nb 0.542 0.873 0.250
Nb 0.127 0.458 0.250
Nb 0.873 0.542 0.750
Nb 0.458 0.127 0.750
Nb 0.000 0.000 0.000
Nb 0.000 0.000 0.500
Sn 0.643 0.357 0.250
Sn 0.357 0.643 0.750

***

Entry from the Alexandria database: a relaxed structure of Nb3SnH (PBE).

a b c (Å): 4.789 4.789 8.212
angles (deg): 90.00 90.00 120.00
Atoms (fractional coordinates):
H 0.000 0.000 0.000
H 0.000 0.000 0.500
Nb 0.000 0.000 0.250
Nb 0.000 0.000 0.750
Nb 0.333 0.667 0.086
Nb 0.333 0.667 0.414
Nb 0.667 0.333 0.586
Nb 0.667 0.333 0.914
Sn 0.333 0.667 0.750
Sn 0.667 0.333 0.250

***

Entry from the Alexandria database: a relaxed structure of Nb3SnH2 (PBE).

a b c (Å): 3.272 5.752 9.062
angles (deg): 89.98 90.00 90.00
Atoms (fractional coordinates):
Nb 0.750 0.909 0.151
Nb 0.250 0.091 0.849
Nb 0.750 0.646 0.887
Nb 0.250 0.354 0.113
Nb 0.250 0.127 0.405
Nb 0.750 0.873 0.595
Sn 0.250 0.637 0.370
Sn 0.750 0.363 0.630
H 0.250 0.439 0.903
H 0.750 0.561 0.097
H 0.750 0.227 0.230
H 0.250 0.773 0.770

***

Entry from the Alexandria database: a relaxed structure of Nb3SnH (PBE).

a b c (Å): 5.869 5.869 5.869
angles (deg): 53.93 53.93 53.93
Atoms (fractional coordinates):
H 0.079 0.079 0.079
Nb 0.823 0.326 0.823
Nb 0.326 0.823 0.823
Nb 0.823 0.823 0.326
Sn 0.825 0.825 0.825

***

| no. | calculated volume (Å³/cell) | total DFT energy (no corrections) (eV/atom) |
| --- | --- | --- |
| 1 | 49.2 | -5.270 |
| 2 | 163.6 | -7.472 |
| 3 | 161.8 | -7.060 |
| 4 | 1296.7 | -7.288 |
| 5 | 55.2 | -3.761 |
| 6 | 183.9 | -7.154 |
| 7 | 168.2 | -6.519 |
| 8 | 159.0 | -7.570 |
| 9 | 162.3 | -7.624 |
| 10 | 163.1 | -7.308 |
| 11 | 170.5 | -6.832 |
| 12 | 122.7 | -6.487 |